Compound: PmZr2Ni9
Source: the Alexandria database
Functional: PBE
Structure: relaxed

Summary:
As for the calculated volume: 13.95 Å³ per atom. As for the energy of formation from the pure elements: -465 kJ/mol of formula units. For the energy, the calculation gives -6.558 eV per atom.

The structure in CIF format:
```
data_PmZr2Ni9
_chemical_formula_sum 'Pm1 Zr2 Ni9'
_space_group_name_H-M_alt 'P 1'
_space_group_IT_number 1
_space_group_name_Hall 'P 1'
_cell_length_a 4.9229
_cell_length_b 4.9229
_cell_length_c 8.4674
_cell_angle_alpha 73.10
_cell_angle_beta 73.10
_cell_angle_gamma 60.00
loop_
_atom_site_label
_atom_site_fract_x
_atom_site_fract_y
_atom_site_fract_z
Ni1 0.0814 0.5879 0.7428
Ni2 0.4121 0.4121 0.2572
Ni3 0.4121 0.9186 0.2572
Ni4 0.5000 0.5000 0.5000
Ni5 0.5879 0.5879 0.7428
Ni6 0.9186 0.4121 0.2572
Ni7 0.6664 0.6664 0.0007
Ni8 0.3336 0.3336 0.9993
Ni9 0.5879 0.0814 0.7428
Pm1 0.0000 0.0000 0.0000
Zr1 0.8599 0.8599 0.4202
Zr2 0.1401 0.1401 0.5798
```